Here is a relaxed NdGdIn4Pt2 crystal from the Open Quantum Materials Database. Energies are from PBE.

The structure in POSCAR format:
```
NdGdIn4Pt2
1.0
7.387 0.000 0.000
0.000 2.288 5.355
0.000 -2.288 5.355
Nd Gd In Pt
1 1 4 2
Cartesian
0.000 0.000 0.000
3.694 0.000 9.047
1.500 0.000 3.067
2.217 0.000 5.993
5.170 0.000 5.993
5.887 0.000 3.067
0.000 0.000 7.667
3.694 0.000 1.370
```

crystal system = orthorhombic
energy = -4.80 eV/atom
space-group type = Amm2, No. 38

Here is a relaxed NbRe2Mo crystal from the Open Quantum Materials Database. Energies are from PBE.

The structure in POSCAR format:
```
NbRe2Mo
1.0
0.000 3.163 3.163
3.163 0.000 3.163
3.163 3.163 0.000
Nb Re Mo
1 2 1
Cartesian
0.000 0.000 0.000
3.163 3.163 3.163
4.745 4.745 4.745
1.582 1.582 1.582
```

crystal system = cubic
energy = -11.48 eV/atom
space-group type = F-43m, No. 216

Here is a relaxed ScCdInTe3 crystal from the Open Quantum Materials Database. Energies are from PBE.

The structure in POSCAR format:
```
ScCdInTe3
1.0
2.152 -7.560 0.000
2.152 7.560 0.000
0.000 0.000 11.277
Sc Cd In Te
2 2 2 6
Cartesian
0.000 0.000 0.000
0.000 0.000 5.639
2.152 0.591 8.458
2.152 -0.591 2.819
2.152 3.942 2.819
2.152 -3.942 8.458
2.152 6.313 8.458
2.152 2.043 6.082
2.152 2.043 10.834
2.152 -2.043 0.443
2.152 -2.043 5.196
2.152 -6.313 2.819
```

crystal system = orthorhombic
energy = -3.88 eV/atom
space-group type = Cmcm, No. 63

Here is a relaxed LaSmPBr2 crystal from the Open Quantum Materials Database. Energies are from PBE.

The structure in POSCAR format:
```
LaSmPBr2
1.0
4.181 0.000 0.000
-2.090 3.620 0.000
0.000 0.000 10.780
La Sm P Br
1 1 1 2
Cartesian
0.000 0.000 0.000
0.000 2.414 7.573
2.090 1.207 9.110
0.000 0.000 5.753
0.000 2.414 1.916
```

crystal system = trigonal
energy = -5.48 eV/atom
space-group type = P3m1, No. 156